(1)
First-principles (GGA-PBE) data for an optimized crystal structure of Mg2InMo, as listed in the Alexandria database.

```
Mg2InMo
1.0
-3.7910 3.6078 -1.1054
-4.9507 -2.0128 -0.2207
4.0346 -0.2815 3.5003
Mg Mo In
2 1 1
Cartesian
0.0000 0.0000 0.0000 Mg
-2.6435 -0.7484 1.3083 Mg
-4.3708 0.7975 -0.6630 Mo
-2.0636 2.0619 0.8660 In
```

Values from the calculation:
The calculation puts the total energy at -15.8 eV/cell. For the energy of formation from the pure elements, the calculation gives 0.237 eV/atom.

***

(2)
First-principles (GGA-PBE) data for an optimized crystal structure of MgInMo2, as listed in the Alexandria database.

```
MgInMo2
1.0
4.5523 0.0000 0.0000
0.0000 3.9252 0.0000
0.0000 0.0000 3.9252
In Mo Mg
1 2 1
Cartesian
2.2762 1.9626 0.0000 In
0.0000 0.0000 0.0000 Mo
0.0000 1.9626 1.9626 Mo
2.2762 0.0000 1.9626 Mg
```

Values from the calculation:
The calculation puts the total energy at -24.7 eV/cell. For the energy of formation from the pure elements, the calculation gives 0.335 eV/atom. The value obtained for the energy above the most stable polymorph in this dataset is 0.2041 eV/atom.

***

(3)
First-principles (GGA-PBE) data for an optimized crystal structure of MgInMo, as listed in the Alexandria database.

```
MgInMo
1.0
-3.1634 -3.4757 0.5498
3.0045 -0.0917 -3.6544
1.8921 -1.4702 1.5925
Mo In Mg
1 1 1
Cartesian
0.1588 -3.3316 0.2141 Mo
0.1453 -0.1129 0.1223 In
1.4291 -1.5931 -1.8485 Mg
```

Values from the calculation:
The calculation puts the total energy at -14.1 eV/cell. For the energy of formation from the pure elements, the calculation gives 0.356 eV/atom. The value obtained for the energy above the most stable polymorph in this dataset is 0.0526 eV/atom.

***

(4)
First-principles (GGA-PBE) data for an optimized crystal structure of Mg2InMo, as listed in the Alexandria database.

```
Mg2InMo
1.0
5.5044 -0.0057 0.0000
2.5298 4.8886 0.0000
-4.0171 -2.4414 2.8637
Mo Mg In
1 2 1
Cartesian
1.2649 2.4443 1.4318 Mo
0.0000 0.0000 0.0000 Mg
4.0171 2.4414 0.0000 Mg
2.7522 -0.0029 1.4318 In
```

Values from the calculation:
The calculation puts the total energy at -15.7 eV/cell. For the energy of formation from the pure elements, the calculation gives 0.257 eV/atom.

***

(5)
First-principles (GGA-PBE) data for an optimized crystal structure of MgIn2Mo, as listed in the Alexandria database.

```
MgIn2Mo
1.0
-3.0513 -4.0839 -0.7903
-0.3683 -4.7655 -1.9411
1.2556 -2.8000 4.5858
Mg In Mo
1 2 1
Cartesian
-0.5410 -2.9124 0.4636 Mg
1.2115 -2.8334 4.5027 In
-1.0379 -5.7913 1.0102 In
-1.6230 -8.7371 1.3908 Mo
```

Values from the calculation:
The calculation puts the total energy at -16.8 eV/cell. For the energy of formation from the pure elements, the calculation gives 0.281 eV/atom.

***

(6)
First-principles (GGA-PBE) data for an optimized crystal structure of MgIn2Mo, as listed in the Alexandria database.

```
MgIn2Mo
1.0
7.6336 0.0000 0.0000
0.0000 7.6336 0.0000
3.8168 3.8168 2.9685
In Mg Mo
4 2 2
Cartesian
1.8781 5.7252 0.7421 In
5.7252 5.6949 2.2264 In
9.5419 9.5722 2.2264 In
5.7554 1.9084 0.7421 In
3.8168 7.6336 1.4843 Mg
3.8168 3.8168 0.0000 Mg
7.6336 3.8168 1.4843 Mo
0.0000 0.0000 0.0000 Mo
```

Values from the calculation:
The calculation puts the total energy at -30.9 eV/cell. For the energy of formation from the pure elements, the calculation gives 0.615 eV/atom.

***

(7)
First-principles (GGA-PBE) data for an optimized crystal structure of MgInMo2, as listed in the Alexandria database.

```
MgInMo2
1.0
-0.5043 1.1688 -2.5028
0.0147 -2.7556 -0.5393
-9.1099 -0.3737 1.6610
Mo Mg In
2 1 1
Cartesian
-4.5543 -0.1868 0.8304 Mo
-0.0007 0.0000 0.0001 Mo
-7.0772 -1.0737 -0.2753 Mg
-2.5223 -0.8869 -1.1058 In
```

Values from the calculation:
The calculation puts the total energy at -24.4 eV/cell. For the energy of formation from the pure elements, the calculation gives 0.390 eV/atom. The value obtained for the energy above the most stable polymorph in this dataset is 0.2590 eV/atom.

***

(8)
First-principles (GGA-PBE) data for an optimized crystal structure of Mg2InMo, as listed in the Alexandria database.

```
Mg2InMo
1.0
10.0266 0.0058 0.0034
9.5561 3.0356 0.0034
9.5561 1.4842 2.6481
Mg Mo In
2 1 1
Cartesian
7.1333 1.1079 0.6499 Mg
0.0037 0.0006 0.0003 Mg
14.5858 2.2654 1.3290 Mo
21.9854 3.4147 2.0032 In
```

Values from the calculation:
The calculation puts the total energy at -15.6 eV/cell. For the energy of formation from the pure elements, the calculation gives 0.285 eV/atom.

***

- Number 6 is which compound?
  MgIn2Mo